Pm2PuTl4 | PBE-GGA | relaxed

Cell lengths 5.3499, 5.3499, 7.6170 Å; angles 90.00, 90.00, 90.00 degrees
With the nearest neighbours (Å) after each atom.
Sites, in units of the cell vectors:
Tl 0.5000 0.0000 0.2681  4 Pm 3.21-3.37, 2 Pu 3.37, 1 Tl 3.53
Tl 0.0000 0.5000 0.7319  4 Pm 3.21-3.37, 2 Pu 3.37, 1 Tl 3.53
Tl 0.5000 0.0000 0.7319  4 Pm 3.21-3.37, 2 Pu 3.37, 1 Tl 3.53
Tl 0.0000 0.5000 0.2681  4 Pm 3.21-3.37, 2 Pu 3.37, 1 Tl 3.53
Pu 0.5000 0.5000 0.0000  8 Tl 3.37
Pm 0.5000 0.5000 0.5000  8 Tl 3.21
Pm 0.0000 0.0000 0.0000  8 Tl 3.37

Calculated values
As for the final energy: -4.88 eV/atom. The theoretical density is 10.3 g/cm3. Its spin magnetization is 6.5 Bohr magnetons per cell.